# 1
CaTePt: optimized geometry, PBE-GGA.

Final energy: -4.6642 eV/atom

a = 4.800 Å, b = 6.014 Å, c = 7.229 Å
α = 95.92°, β = 124.34°, γ = 83.07°
Positions (direct):
Te1 0.676 0.327 0.181
Te2 0.361 0.702 0.555
Pt1 0.404 0.004 0.857
Pt2 0.075 0.197 0.051
Ca1 0.627 0.164 0.567
Ca2 0.078 0.713 0.018



# 2
CaTePt: optimized geometry, PBE-GGA.

Final energy: -4.6934 eV/atom

a = 10.269 Å, b = 4.561 Å, c = 6.846 Å
α = 90.00°, β = 90.00°, γ = 90.00°
Positions (direct):
Ca1 0.406 0.250 0.217
Ca2 0.906 0.250 0.283
Ca3 0.094 0.750 0.717
Ca4 0.594 0.750 0.783
Te1 0.646 0.750 0.262
Te2 0.854 0.250 0.762
Te3 0.146 0.750 0.238
Te4 0.354 0.250 0.738
Pt1 0.823 0.750 0.552
Pt2 0.323 0.750 0.948
Pt3 0.677 0.250 0.052
Pt4 0.177 0.250 0.448



# 3
Ca2TePt: optimized geometry, PBE-GGA.

Final energy: -4.3992 eV/atom

a = 6.089 Å, b = 6.089 Å, c = 4.542 Å
α = 90.00°, β = 90.00°, γ = 39.18°
Positions (direct):
Pt1 0.473 0.473 0.625
Ca1 0.010 0.010 0.125
Ca2 0.727 0.727 0.625
Te1 0.289 0.289 0.125



# 4
CaTePt: optimized geometry, PBE-GGA.

Final energy: -4.4705 eV/atom

a = 6.866 Å, b = 7.277 Å, c = 5.947 Å
α = 90.00°, β = 90.00°, γ = 90.00°
Positions (direct):
Te1 0.000 0.000 0.000
Te2 0.500 0.500 0.500
Te3 0.500 0.000 0.500
Te4 0.000 0.500 0.000
Pt1 0.785 0.250 0.342
Pt2 0.285 0.250 0.158
Pt3 0.215 0.750 0.658
Pt4 0.715 0.750 0.842
Ca1 0.633 0.250 0.892
Ca2 0.367 0.750 0.108
Ca3 0.133 0.250 0.608
Ca4 0.867 0.750 0.392